DFT (PBE) results for a relaxed PmZrCoIr crystal.

The value obtained for the total magnetization is 3.56 μB per cell. As for the formation enthalpy at 0 K: -0.34 eV/atom. Its energy is -7.658 eV per atom.

The structure belongs to space group F-43m (No. 216); the cell edges are 6.753, 6.753 and 6.753 Å and the angles 90.00°, 90.00° and 90.00°. Symmetry generates all atoms from Pm at (0.000, 0.000, 0.000), Zr at (0.000, 0.000, 0.500), Co at (0.250, 0.250, 0.750) and Ir at (0.250, 0.250, 0.250).

DFT (PBE) results for a relaxed Pr8Co2Ir crystal.

The value obtained for the total magnetization is 0.00 μB per cell. As for the formation enthalpy at 0 K: -0.13 eV/atom. Its energy is -5.699 eV per atom.

The structure belongs to space group C2/m (No. 12); the cell edges are 18.841, 3.931 and 9.074 Å and the angles 90.00°, 94.53° and 90.00°. Symmetry generates all atoms from Pr at (0.009, 0.000, 0.219), Pr at (0.101, 0.500, 0.547), Pr at (0.154, 0.500, 0.960), Pr at (0.223, 0.000, 0.329), Co at (0.170, 0.000, 0.728) and Ir at (0.000, 0.500, 0.000).

DFT (PBE) results for a relaxed Pr3CoIr2 crystal.

The value obtained for the total magnetization is 1.39 μB per cell. As for the formation enthalpy at 0 K: -0.44 eV/atom. Its energy is -6.969 eV per atom.

The structure belongs to space group Pnma (No. 62); the cell edges are 11.579, 4.147 and 11.972 Å and the angles 90.00°, 90.00° and 90.00°. Symmetry generates all atoms from Pr at (0.057, 0.250, 0.120), Pr at (0.122, 0.750, 0.556), Pr at (0.202, 0.250, 0.802), Co at (0.125, 0.250, 0.363), Ir at (0.031, 0.750, 0.316) and Ir at (0.190, 0.750, 0.983).

DFT (PBE) results for a relaxed PrCo2Ir crystal.

The value obtained for the total magnetization is 4.34 μB per cell. As for the formation enthalpy at 0 K: -0.07 eV/atom. Its energy is -7.036 eV per atom.

The structure belongs to space group P2_1/m (No. 11); the cell edges are 4.122, 6.940 and 5.683 Å and the angles 90.00°, 111.20° and 90.00°. Symmetry generates all atoms from Pr at (0.065, 0.250, 0.128), Co at (0.312, 0.065, 0.625) and Ir at (0.210, 0.750, 0.421).

DFT (PBE) results for a relaxed Pr6Co2Ir crystal.

The value obtained for the total magnetization is 0.77 μB per cell. As for the formation enthalpy at 0 K: -0.16 eV/atom. Its energy is -5.909 eV per atom.

The structure belongs to space group Immm (No. 71); the cell edges are 9.753, 9.853 and 9.896 Å and the angles 90.00°, 90.00° and 90.00°. Symmetry generates all atoms from Pr at (0.000, 0.181, 0.245), Pr at (0.182, 0.500, 0.329), Pr at (0.234, 0.325, 0.000), Co at (0.000, 0.324, 0.500), Co at (0.000, 0.500, 0.112), Ir at (0.000, 0.000, 0.000) and Ir at (0.000, 0.000, 0.500).

DFT (PBE) results for a relaxed Pr8CoIr2 crystal.

The value obtained for the total magnetization is 0.00 μB per cell. As for the formation enthalpy at 0 K: -0.20 eV/atom. Its energy is -5.930 eV per atom.

The structure belongs to space group Cm (No. 8); the cell edges are 8.654, 12.573 and 6.524 Å and the angles 90.00°, 110.81° and 90.00°. Symmetry generates all atoms from Pr at (0.000, 0.000, 0.000), Pr at (0.070, 0.367, 0.839), Pr at (0.137, 0.135, 0.586), Pr at (0.211, 0.500, 0.404), Pr at (0.358, 0.190, 0.199), Co at (0.354, 0.000, 0.998) and Ir at (0.352, 0.315, 0.706).

DFT (PBE) results for a relaxed Pr2CoIr crystal.

The value obtained for the total magnetization is 0.85 μB per cell. As for the formation enthalpy at 0 K: -0.22 eV/atom. Its energy is -6.599 eV per atom.

The structure belongs to space group I4/mmm (No. 139); the cell edges are 5.012, 5.012 and 7.112 Å and the angles 90.00°, 90.00° and 90.00°. Symmetry generates all atoms from Pr at (0.000, 0.500, 0.250), Co at (0.000, 0.000, 0.000) and Ir at (0.000, 0.000, 0.500).

DFT (PBE) results for a relaxed Pr2CoIr crystal.

The value obtained for the total magnetization is 0.71 μB per cell. As for the formation enthalpy at 0 K: -0.21 eV/atom. Its energy is -6.594 eV per atom.

The structure belongs to space group P4/mmm (No. 123); the cell edges are 4.976, 4.976 and 3.610 Å and the angles 90.00°, 90.00° and 90.00°. Symmetry generates all atoms from Pr at (0.000, 0.500, 0.000), Co at (0.000, 0.000, 0.500) and Ir at (0.500, 0.500, 0.500).

DFT (PBE) results for a relaxed Pr3Co3Ir crystal.

The value obtained for the total magnetization is 10.44 μB per cell. As for the formation enthalpy at 0 K: -0.18 eV/atom. Its energy is -6.544 eV per atom.

The structure belongs to space group Cmcm (No. 63); the cell edges are 4.371, 10.394 and 12.699 Å and the angles 90.00°, 90.00° and 90.00°. Symmetry generates all atoms from Pr at (0.000, 0.028, 0.250), Pr at (0.000, 0.267, 0.603), Co at (0.000, 0.337, 0.250), Co at (0.000, 0.440, 0.086) and Ir at (0.000, 0.000, 0.000).

DFT (PBE) results for a relaxed Pr2CoIr crystal.

The value obtained for the total magnetization is 0.00 μB per cell. As for the formation enthalpy at 0 K: -0.34 eV/atom. Its energy is -6.717 eV per atom.

The structure belongs to space group P2_1/m (No. 11); the cell edges are 5.796, 4.130 and 8.295 Å and the angles 90.00°, 109.37° and 90.00°. Symmetry generates all atoms from Pr at (0.218, 0.250, 0.426), Pr at (0.281, 0.750, 0.071), Co at (0.342, 0.750, 0.718) and Ir at (0.156, 0.250, 0.780).

DFT (PBE) results for a relaxed Pr3CoIr crystal.

The value obtained for the total magnetization is 0.90 μB per cell. As for the formation enthalpy at 0 K: -0.27 eV/atom. Its energy is -6.326 eV per atom.

The structure belongs to space group P-1 (No. 2); the cell edges are 3.975, 8.017 and 8.399 Å and the angles 93.00°, 90.06° and 104.26°. Symmetry generates all atoms from Pr at (0.052, 0.104, 0.324), Pr at (0.233, 0.465, 0.683), Pr at (0.396, 0.798, 0.057), Co at (0.219, 0.436, 0.042) and Ir at (0.398, 0.798, 0.430).

DFT (PBE) results for a relaxed PrPuCoIr crystal.

The value obtained for the total magnetization is 17.42 μB per cell. As for the formation enthalpy at 0 K: -0.17 eV/atom. Its energy is -8.940 eV per atom.

The structure belongs to space group F-43m (No. 216); the cell edges are 6.938, 6.938 and 6.938 Å and the angles 90.00°, 90.00° and 90.00°. Symmetry generates all atoms from Pr at (0.000, 0.000, 0.000), Pu at (0.000, 0.000, 0.500), Co at (0.250, 0.250, 0.750) and Ir at (0.250, 0.250, 0.250).

Which formula does entry 5 have?
Pr6Co2Ir